No. 1
A relaxed structure of DyBeFe. Source: OQMD via LeMat-Bulk, functional PBE.

Lattice parameters (Å, degrees): 4.1827 4.1827 4.1827 60.00 60.00 60.00
Last column: nearest neighbours and their distance in Å.
Positions (direct):
Dy  0.0000  0.0000  0.0000  4 Be 2.56
Be  0.2500  0.2500  0.2500  4 Dy 2.56, 4 Fe 2.56
Fe  0.5000  0.5000  0.5000  4 Be 2.56

---

No. 2
A relaxed structure of DyBeGa3. Source: OQMD via LeMat-Bulk, functional PBE.

Lattice parameters (Å, degrees): 5.4376 5.4376 5.4376 90.00 90.00 90.00
Last column: nearest neighbours and their distance in Å.
Positions (direct):
Dy  0.0000  0.0000  0.0000  6 Ga 2.72
Be  0.5000  0.5000  0.5000  12 Ga 3.84
Ga  0.0000  0.0000  0.5000  2 Dy 2.72
Ga  0.0000  0.5000  0.0000  2 Dy 2.72
Ga  0.5000  0.0000  0.0000  2 Dy 2.72

---

No. 3
A relaxed structure of DyHoBe2Ge2. Source: OQMD via LeMat-Bulk, functional PBE.

Lattice parameters (Å, degrees): 3.9117 3.9117 8.0651 90.00 90.00 120.00
Last column: nearest neighbours and their distance in Å.
Positions (direct):
Dy  0.0000  0.0000  0.0000  6 Be 3.03, 6 Ge 3.03
Ho  0.0000  0.0000  0.5000  6 Ge 3.02, 6 Be 3.02
Be  0.3333  0.6667  0.7494  3 Ge 2.26
Be  0.6667  0.3333  0.2506  3 Ge 2.26
Ge  0.3333  0.6667  0.2509  3 Be 2.26
Ge  0.6667  0.3333  0.7491  3 Be 2.26

---

No. 4
A relaxed structure of NdDyBe2Ge2. Source: OQMD via LeMat-Bulk, functional PBE.

Lattice parameters (Å, degrees): 3.9569 3.9569 8.3130 90.00 90.00 120.00
Last column: nearest neighbours and their distance in Å.
Positions (direct):
Nd  0.0000  0.0000  0.0000  6 Be 3.13, 6 Ge 3.14
Dy  0.0000  0.0000  0.5000  6 Ge 3.04, 6 Be 3.05
Be  0.3333  0.6667  0.2565  3 Ge 2.28
Be  0.6667  0.3333  0.7435  3 Ge 2.28
Ge  0.3333  0.6667  0.7412  3 Be 2.28
Ge  0.6667  0.3333  0.2588  3 Be 2.28

---

No. 5
A relaxed structure of SmDyBe2Ge2. Source: OQMD via LeMat-Bulk, functional PBE.

Lattice parameters (Å, degrees): 3.9443 3.9443 8.2291 90.00 90.00 120.00
Last column: nearest neighbours and their distance in Å.
Positions (direct):
Sm  0.0000  0.0000  0.0000  6 Be 3.09, 6 Ge 3.10
Dy  0.0000  0.0000  0.5000  6 Ge 3.04, 6 Be 3.05
Be  0.3333  0.6667  0.7458  3 Ge 2.28
Be  0.6667  0.3333  0.2542  3 Ge 2.28
Ge  0.3333  0.6667  0.2556  3 Be 2.28
Ge  0.6667  0.3333  0.7444  3 Be 2.28

---

No. 6
A relaxed structure of TbDyBe2Ge2. Source: OQMD via LeMat-Bulk, functional PBE.

Lattice parameters (Å, degrees): 3.9219 3.9219 8.1141 90.00 90.00 120.00
Last column: nearest neighbours and their distance in Å.
Positions (direct):
Tb  0.0000  0.0000  0.0000  6 Be 3.04, 6 Ge 3.05
Dy  0.0000  0.0000  0.5000  6 Ge 3.03, 6 Be 3.04
Be  0.3333  0.6667  0.2506  3 Ge 2.26
Be  0.6667  0.3333  0.7494  3 Ge 2.26
Ge  0.3333  0.6667  0.7491  3 Be 2.26
Ge  0.6667  0.3333  0.2509  3 Be 2.26

---

Across the entries above, total energy takes the values -5.087 -2.270 -4.984 -5.002 -5.004 -4.996 eV per atom, respectively.
Across the entries above, size of the total moment takes the values 1.07 0.00 0.00 0.00 0.00 0.01 μB per formula unit, respectively.